Below is crystalline YZr2Al2 at its relaxed geometry, with properties calculated at the GGA-PBE level.

Calculated values
Magnetization = 0.0 μB per formula unit
Crystal system = tetragonal
Formation enthalpy at 0 K = -0.353 eV/atom

```
data_YZr2Al2
_chemical_formula_sum 'Y2 Zr4 Al4'
_symmetry_space_group_name_H-M 'P 4/m b m'
_symmetry_Int_Tables_number 127
_symmetry_space_group_name_Hall '-P 4 2ab'
_cell_length_a 7.993
_cell_length_b 7.993
_cell_length_c 3.442
_cell_angle_alpha 90.00
_cell_angle_beta 90.00
_cell_angle_gamma 90.00
loop_
_atom_site_label
_atom_site_type_symbol
_atom_site_fract_x
_atom_site_fract_y
_atom_site_fract_z
Y1 Y 0.000 0.000 0.000
Zr1 Zr 0.177 0.323 0.500
Al1 Al 0.118 0.618 0.000
```